Tm2CoI: relaxed, GGA-PBE.

Unit cell a=3.901 b=3.901 c=8.111 alpha=76.08 beta=76.08 gamma=60.00
Atoms (fractional coordinates):
I  0.500  0.500  0.500
Tm  0.274  0.274  0.177
Tm  0.726  0.726  0.823
Co  0.000  0.000  0.000

Summary:
Crystal system ... trigonal
SG ... R-3m (166)
Raw formation energy ... -0.561 eV per atom
D(E_F) ... 0.26 states/eV/atom